Entry 1:
{"formula": "Ho3Tm4Pu", "functional": "PBE-GGA", "state": "relaxed", "polymorph_energy_mev_per_atom": 0, "e_tot_ev_per_atom": -5.69, "n_ef_per_ev_atom": 2.071, "delta_e_f_mev_per_atom": 57.1, "lattice_angstrom": [[4.908, 0.000, 0.000], [0.000, 9.872, 0.000], [0.000, 0.000, 9.882]], "species": ["Pu", "Pu", "Tm", "Tm", "Tm", "Tm", "Tm", "Tm", "Tm", "Tm", "Ho", "Ho", "Ho", "Ho", "Ho", "Ho"], "frac_coords": [[0.064, 0.372, 0.000], [0.564, 0.628, 0.500], [0.064, 0.126, 0.248], [0.564, 0.125, 0.500], [0.564, 0.874, 0.252], [0.064, 0.875, 0.500], [0.064, 0.126, 0.752], [0.564, 0.125, 0.000], [0.564, 0.874, 0.748], [0.064, 0.875, 0.000], [0.064, 0.624, 0.749], [0.564, 0.376, 0.249], [0.564, 0.622, 0.000], [0.064, 0.624, 0.251], [0.064, 0.378, 0.500], [0.564, 0.376, 0.751]]}



Entry 2:
{"formula": "La2Cu2Ge", "functional": "PBE-GGA", "state": "relaxed", "polymorph_energy_mev_per_atom": 55, "e_tot_ev_per_atom": -4.90, "n_ef_per_ev_atom": 0.546, "delta_e_f_mev_per_atom": -371.2, "lattice_angstrom": [[-5.642, 4.411, 0.931], [-4.426, -5.704, 0.199], [0.511, -0.247, 4.269]], "species": ["La", "La", "La", "La", "Ge", "Ge", "Cu", "Cu", "Cu", "Cu"], "frac_coords": [[0.318, 0.182, 0.500], [0.682, 0.818, 0.500], [0.182, 0.682, 0.500], [0.818, 0.318, 0.500], [0.000, 0.000, 0.000], [0.500, 0.500, 0.000], [0.379, 0.879, 0.000], [0.121, 0.379, 0.000], [0.621, 0.121, 0.000], [0.879, 0.621, 0.000]]}